No. 1
Compound: Sm2PaTl
Source: the Alexandria database
Functional: PBE
Structure: optimized geometry

- Formation energy from the elements: 0.9 eV per formula unit

The structure in POSCAR format:
```
Sm2PaTl
1.0
3.323 0.000 0.000
1.662 2.878 0.000
1.662 0.959 12.136
Tl Pa Sm
1 1 2
Direct
0.500 0.500 0.500
0.000 0.000 0.000
0.090 0.090 0.731
0.910 0.910 0.269
```

No. 2
Compound: Cs2GaBiBr6
Source: the Alexandria database
Functional: PBE
Structure: optimized geometry

- Formation energy from raw total energies: -11.8 eV per formula unit

The structure in POSCAR format:
```
Cs2GaBiBr6
1.0
-2.916 -2.448 -7.279
-3.632 -6.536 3.653
-9.694 6.359 1.739
Cs Ga Bi Br
4 2 2 12
Direct
0.009 0.960 0.250
0.509 0.540 0.750
0.991 0.040 0.750
0.491 0.460 0.250
0.500 0.000 0.000
0.000 0.500 0.500
0.500 0.000 0.500
0.000 0.500 0.000
0.278 0.710 0.026
0.778 0.790 0.526
0.722 0.290 0.974
0.222 0.210 0.474
0.291 0.722 0.476
0.791 0.778 0.976
0.709 0.278 0.524
0.209 0.222 0.024
0.952 0.505 0.244
0.452 0.995 0.744
0.048 0.495 0.756
0.548 0.005 0.256
```

No. 3
Compound: Hf6PC3
Source: the Alexandria database
Functional: PBE
Structure: optimized geometry

- Formation energy from the elements: -8.1 eV per formula unit

The structure in POSCAR format:
```
Hf6PC3
1.0
3.360 0.000 0.000
0.000 10.260 -0.378
0.000 -3.800 9.197
Hf P C
12 2 6
Direct
0.750 0.436 0.604
0.250 0.564 0.396
0.750 0.927 0.077
0.250 0.073 0.923
0.750 0.387 0.062
0.250 0.613 0.938
0.750 0.720 0.246
0.250 0.280 0.754
0.750 0.109 0.466
0.250 0.891 0.534
0.750 0.777 0.734
0.250 0.223 0.266
0.750 0.067 0.719
0.250 0.933 0.281
0.750 0.445 0.843
0.250 0.555 0.157
0.750 0.722 0.475
0.250 0.278 0.525
0.750 0.160 0.093
0.250 0.840 0.907
```

No. 4
Compound: Rb3La2PrSe6
Source: the Alexandria database
Functional: PBE
Structure: optimized geometry

- Formation energy from raw total energies: -21.5 eV per formula unit

The structure in POSCAR format:
```
Rb3La2PrSe6
1.0
-7.437 2.033 0.049
2.193 -6.516 -3.490
0.693 -2.526 7.991
Rb La Pr Se
3 2 1 6
Direct
0.167 0.833 0.500
0.833 0.167 0.500
0.500 0.500 0.500
0.333 0.667 0.000
0.667 0.333 0.000
0.000 0.000 0.000
0.933 0.601 0.798
0.736 0.736 0.202
0.067 0.399 0.202
0.601 0.933 0.798
0.264 0.264 0.798
0.399 0.067 0.202
```

No. 5
Compound: CdTePb3
Source: the Alexandria database
Functional: PBE
Structure: optimized geometry

- Formation energy from raw total energies: 1.8 eV per formula unit

The structure in POSCAR format:
```
CdTePb3
1.0
5.673 0.000 0.000
0.000 5.673 0.000
0.000 0.000 5.673
Pb Te Cd
3 1 1
Direct
0.000 0.500 0.000
0.000 0.000 0.500
0.500 0.000 0.000
0.500 0.500 0.500
0.000 0.000 0.000
```

No. 6
Compound: ReNi2Pt6
Source: the Alexandria database
Functional: PBE
Structure: optimized geometry

- Formation energy from the elements: 2.6 eV per formula unit

The structure in POSCAR format:
```
ReNi2Pt6
1.0
5.389 0.000 0.000
2.694 4.667 0.000
2.694 1.556 6.287
Re Ni Pt
1 2 6
Direct
0.334 0.334 0.998
0.773 0.773 0.682
0.559 0.559 0.322
0.775 0.266 0.693
0.266 0.775 0.693
0.266 0.266 0.693
0.060 0.572 0.308
0.060 0.060 0.308
0.572 0.060 0.308
```

no.,total magnetization (μB/atom)
1,0.000
2,0.000
3,0.000
4,0.000
5,0.000
6,0.062